This record from Alexandria describes a relaxed structure of AcEuMgRu. The functional is PBE-GGA.

Summary:
Calculated total energy in eV/atom: -6.224
V in Å³/atom: 26.63
D(E_F) in states/eV per atom: 0.543
Formation energy in meV per atom: 89

Unit cell a=5.3211 b=5.3211 c=5.3211 alpha=60.00 beta=60.00 gamma=60.00
Last column: nearest neighbours and their distance in Å.
Sites, in units of the cell vectors:
1 Eu 0.5000 0.5000 0.5000  4 Mg 3.26, 4 Ru 3.26
2 Ru 0.7500 0.7500 0.7500  4 Ac 3.26, 4 Eu 3.26
3 Ac 0.0000 0.0000 0.0000  4 Ru 3.26, 4 Mg 3.26
4 Mg 0.2500 0.2500 0.2500  4 Ac 3.26, 4 Eu 3.26